(1)
Here is a relaxed BeIn2Re crystal from Alexandria via LeMat-Bulk. Energies are from GGA-PBE.

Geometry as CIF:
```
data_BeIn2Re
_cell_length_a 2.889
_cell_length_b 2.889
_cell_length_c 8.355
_cell_angle_alpha 90.00
_cell_angle_beta 90.00
_cell_angle_gamma 90.00
_symmetry_space_group_name_H-M 'P 1'
_symmetry_Int_Tables_number 1
loop_
_symmetry_equiv_pos_as_xyz
'x,y,z'
loop_
_atom_site_label
_atom_site_fract_x
_atom_site_fract_y
_atom_site_fract_z
Re1 0.500 0.500 0.250
Be1 0.500 0.500 0.750
In1 0.000 0.000 0.989
In2 0.000 0.000 0.511
```

(2)
Here is a relaxed BeIn2Re crystal from Alexandria via LeMat-Bulk. Energies are from GGA-PBE.

Geometry as CIF:
```
data_BeIn2Re
_cell_length_a 5.514
_cell_length_b 5.514
_cell_length_c 4.948
_cell_angle_alpha 73.42
_cell_angle_beta 73.42
_cell_angle_gamma 29.41
_symmetry_space_group_name_H-M 'P 1'
_symmetry_Int_Tables_number 1
loop_
_symmetry_equiv_pos_as_xyz
'x,y,z'
loop_
_atom_site_label
_atom_site_fract_x
_atom_site_fract_y
_atom_site_fract_z
Re1 0.537 0.537 0.520
Be1 0.209 0.209 0.230
In1 0.978 0.978 0.057
In2 0.776 0.776 0.693
```

(3)
Here is a relaxed Be2InRe crystal from Alexandria via LeMat-Bulk. Energies are from GGA-PBE.

Geometry as CIF:
```
data_Be2InRe
_cell_length_a 3.120
_cell_length_b 3.081
_cell_length_c 6.471
_cell_angle_alpha 61.60
_cell_angle_beta 90.00
_cell_angle_gamma 90.00
_symmetry_space_group_name_H-M 'P 1'
_symmetry_Int_Tables_number 1
loop_
_symmetry_equiv_pos_as_xyz
'x,y,z'
loop_
_atom_site_label
_atom_site_fract_x
_atom_site_fract_y
_atom_site_fract_z
Re1 0.500 0.750 0.750
Be1 0.000 0.069 0.931
Be2 0.000 0.431 0.569
In1 0.500 0.250 0.250
```

(4)
Here is a relaxed Be2InRe crystal from Alexandria via LeMat-Bulk. Energies are from GGA-PBE.

Geometry as CIF:
```
data_Be2InRe
_cell_length_a 2.739
_cell_length_b 2.739
_cell_length_c 8.201
_cell_angle_alpha 90.00
_cell_angle_beta 90.00
_cell_angle_gamma 105.68
_symmetry_space_group_name_H-M 'P 1'
_symmetry_Int_Tables_number 1
loop_
_symmetry_equiv_pos_as_xyz
'x,y,z'
loop_
_atom_site_label
_atom_site_fract_x
_atom_site_fract_y
_atom_site_fract_z
Re1 0.500 0.500 0.750
Be1 0.000 0.000 0.954
Be2 0.000 0.000 0.546
In1 0.500 0.500 0.250
```

(5)
Here is a relaxed BeIn2Re crystal from Alexandria via LeMat-Bulk. Energies are from GGA-PBE.

Geometry as CIF:
```
data_BeIn2Re
_cell_length_a 3.168
_cell_length_b 3.168
_cell_length_c 7.166
_cell_angle_alpha 90.00
_cell_angle_beta 90.00
_cell_angle_gamma 90.00
_symmetry_space_group_name_H-M 'P 1'
_symmetry_Int_Tables_number 1
loop_
_symmetry_equiv_pos_as_xyz
'x,y,z'
loop_
_atom_site_label
_atom_site_fract_x
_atom_site_fract_y
_atom_site_fract_z
Re1 0.000 0.000 0.567
Be1 0.500 0.500 0.671
In1 0.000 0.000 0.959
In2 0.500 0.500 0.304
```

(6)
Here is a relaxed BeIn2Re crystal from Alexandria via LeMat-Bulk. Energies are from GGA-PBE.

Geometry as CIF:
```
data_BeIn2Re
_cell_length_a 5.067
_cell_length_b 5.067
_cell_length_c 5.051
_cell_angle_alpha 84.09
_cell_angle_beta 84.09
_cell_angle_gamma 32.76
_symmetry_space_group_name_H-M 'P 1'
_symmetry_Int_Tables_number 1
loop_
_symmetry_equiv_pos_as_xyz
'x,y,z'
loop_
_atom_site_label
_atom_site_fract_x
_atom_site_fract_y
_atom_site_fract_z
Re1 0.750 0.750 0.750
Be1 0.250 0.250 0.250
In1 0.009 0.009 0.999
In2 0.491 0.491 0.501
```

(7)
Here is a relaxed Be3InRe crystal from Alexandria via LeMat-Bulk. Energies are from GGA-PBE.

Calculated values
Its energy above the most stable polymorph in this dataset is 965 meV per atom.

Geometry as CIF:
```
data_Be3InRe
_cell_length_a 4.304
_cell_length_b 4.304
_cell_length_c 4.304
_cell_angle_alpha 90.00
_cell_angle_beta 90.00
_cell_angle_gamma 90.00
_symmetry_space_group_name_H-M 'P 1'
_symmetry_Int_Tables_number 1
loop_
_symmetry_equiv_pos_as_xyz
'x,y,z'
loop_
_atom_site_label
_atom_site_fract_x
_atom_site_fract_y
_atom_site_fract_z
Re1 0.500 0.500 0.500
Be1 0.000 0.500 0.000
Be2 0.000 0.000 0.500
Be3 0.500 0.000 0.000
In1 0.000 0.000 0.000
```

(8)
Here is a relaxed BeIn2Re crystal from Alexandria via LeMat-Bulk. Energies are from GGA-PBE.

Geometry as CIF:
```
data_BeIn2Re
_cell_length_a 8.786
_cell_length_b 8.786
_cell_length_c 8.786
_cell_angle_alpha 20.00
_cell_angle_beta 20.00
_cell_angle_gamma 20.00
_symmetry_space_group_name_H-M 'P 1'
_symmetry_Int_Tables_number 1
loop_
_symmetry_equiv_pos_as_xyz
'x,y,z'
loop_
_atom_site_label
_atom_site_fract_x
_atom_site_fract_y
_atom_site_fract_z
Re1 0.250 0.250 0.250
Be1 0.750 0.750 0.750
In1 0.005 0.005 0.005
In2 0.495 0.495 0.495
```

(9)
Here is a relaxed Be2InRe2 crystal from Alexandria via LeMat-Bulk. Energies are from GGA-PBE.

Calculated values
Its energy above the most stable polymorph in this dataset is 331 meV per atom.

Geometry as CIF:
```
data_Be2InRe2
_cell_length_a 3.703
_cell_length_b 3.703
_cell_length_c 5.893
_cell_angle_alpha 71.69
_cell_angle_beta 71.69
_cell_angle_gamma 90.00
_symmetry_space_group_name_H-M 'P 1'
_symmetry_Int_Tables_number 1
loop_
_symmetry_equiv_pos_as_xyz
'x,y,z'
loop_
_atom_site_label
_atom_site_fract_x
_atom_site_fract_y
_atom_site_fract_z
Re1 0.750 0.250 0.500
Re2 0.250 0.750 0.500
Be1 0.399 0.399 0.203
Be2 0.601 0.601 0.797
In1 0.000 0.000 0.000
```

(10)
Here is a relaxed Be2InRe crystal from Alexandria via LeMat-Bulk. Energies are from GGA-PBE.

Geometry as CIF:
```
data_Be2InRe
_cell_length_a 4.304
_cell_length_b 4.304
_cell_length_c 4.304
_cell_angle_alpha 60.00
_cell_angle_beta 60.00
_cell_angle_gamma 60.00
_symmetry_space_group_name_H-M 'P 1'
_symmetry_Int_Tables_number 1
loop_
_symmetry_equiv_pos_as_xyz
'x,y,z'
loop_
_atom_site_label
_atom_site_fract_x
_atom_site_fract_y
_atom_site_fract_z
Re1 0.750 0.750 0.750
Be1 0.000 0.000 0.000
Be2 0.250 0.250 0.250
In1 0.500 0.500 0.500
```

(11)
Here is a relaxed BeIn2Re crystal from Alexandria via LeMat-Bulk. Energies are from GGA-PBE.

Geometry as CIF:
```
data_BeIn2Re
_cell_length_a 5.095
_cell_length_b 5.095
_cell_length_c 5.095
_cell_angle_alpha 133.85
_cell_angle_beta 133.85
_cell_angle_gamma 67.33
_symmetry_space_group_name_H-M 'P 1'
_symmetry_Int_Tables_number 1
loop_
_symmetry_equiv_pos_as_xyz
'x,y,z'
loop_
_atom_site_label
_atom_site_fract_x
_atom_site_fract_y
_atom_site_fract_z
Re1 0.250 0.750 0.500
Be1 0.750 0.250 0.500
In1 0.000 0.000 0.000
In2 0.500 0.500 0.000
```

(12)
Here is a relaxed BeInRe3 crystal from Alexandria via LeMat-Bulk. Energies are from GGA-PBE.

Calculated values
Its energy above the most stable polymorph in this dataset is 2497 meV per atom.

Geometry as CIF:
```
data_BeInRe3
_cell_length_a 4.812
_cell_length_b 4.812
_cell_length_c 4.812
_cell_angle_alpha 90.00
_cell_angle_beta 90.00
_cell_angle_gamma 90.00
_symmetry_space_group_name_H-M 'P 1'
_symmetry_Int_Tables_number 1
loop_
_symmetry_equiv_pos_as_xyz
'x,y,z'
loop_
_atom_site_label
_atom_site_fract_x
_atom_site_fract_y
_atom_site_fract_z
Re1 0.000 0.500 0.000
Re2 0.000 0.000 0.500
Re3 0.500 0.000 0.000
Be1 0.500 0.500 0.500
In1 0.000 0.000 0.000
```

Looking at energy of formation from the pure elements for the records above, in order, we have 782.2; 467.4; 203.4; 482.8; 352.2; 704.1; 1878.5; 672.4; 479.4; 758.2; 569.4; 3366.7 meV/atom.
Looking at uncorrected energy for the records above, in order, we have -4.631; -4.945; -5.456; -5.177; -5.061; -4.709; -3.395; -4.740; -6.538; -4.902; -4.843; -5.395 eV/atom.
Looking at DOS at the Fermi energy for the records above, in order, we have 2.7; 1.8; 1.8; 1.5; 2.3; 1.8; 3.0; 4.2; 2.8; 2.4; 1.1; 8.4 states/eV/f.u..